(1)
Entry from Alexandria via LeMat-Bulk: a relaxed Nd12Er7Sc crystal (PBE).

Unit cell a=9.378 b=9.378 c=9.378 alpha=107.84 beta=107.84 gamma=107.84
Fractional coordinates of all 20 atoms:
Nd (0.057, 0.295, 0.404)
Nd (0.218, 0.677, 0.382)
Nd (0.295, 0.404, 0.057)
Nd (0.323, 0.618, 0.782)
Nd (0.382, 0.218, 0.677)
Nd (0.404, 0.057, 0.295)
Nd (0.596, 0.943, 0.705)
Nd (0.618, 0.782, 0.323)
Nd (0.677, 0.382, 0.218)
Nd (0.705, 0.596, 0.943)
Nd (0.782, 0.323, 0.618)
Nd (0.943, 0.705, 0.596)
Er (0.005, 0.899, 0.314)
Er (0.101, 0.686, 0.995)
Er (0.314, 0.005, 0.899)
Er (0.500, 0.500, 0.500)
Er (0.686, 0.995, 0.101)
Er (0.899, 0.314, 0.005)
Er (0.995, 0.101, 0.686)
Sc (0.000, 0.000, 0.000)

Properties
For the volume, the calculation gives 671 Å³/cell. The calculation puts the formation enthalpy at 0 K at 0.1530 eV per atom. As for the energy: -92.42 eV/cell. For the energy above the lowest structure with this stoichiometry, the calculation gives 0 kJ/mol of formula units.

(2)
Entry from Alexandria via LeMat-Bulk: a relaxed NdEr12Sc3 crystal (PBE).

Unit cell a=4.914 b=4.914 c=19.621 alpha=90.00 beta=90.00 gamma=90.00
Fractional coordinates of all 16 atoms:
Nd (0.000, 0.000, 0.000)
Er (0.000, 0.500, 0.130)
Er (0.000, 0.500, 0.377)
Er (0.000, 0.500, 0.623)
Er (0.000, 0.500, 0.870)
Er (0.500, 0.000, 0.130)
Er (0.500, 0.000, 0.377)
Er (0.500, 0.000, 0.623)
Er (0.500, 0.000, 0.870)
Er (0.500, 0.500, 0.000)
Er (0.500, 0.500, 0.255)
Er (0.500, 0.500, 0.500)
Er (0.500, 0.500, 0.745)
Sc (0.000, 0.000, 0.253)
Sc (0.000, 0.000, 0.500)
Sc (0.000, 0.000, 0.747)

Properties
For the volume, the calculation gives 474 Å³/cell. The calculation puts the formation enthalpy at 0 K at 0.0399 eV per atom. As for the energy: -77.88 eV/cell.

(3)
Entry from Alexandria via LeMat-Bulk: a relaxed Nd12Er5Sc2 crystal (PBE).

Unit cell a=10.306 b=10.306 c=9.953 alpha=115.46 beta=115.46 gamma=42.24
Fractional coordinates of all 19 atoms:
Nd (0.001, 0.001, 0.201)
Nd (0.073, 0.597, 0.502)
Nd (0.086, 0.591, 0.152)
Nd (0.403, 0.927, 0.498)
Nd (0.409, 0.914, 0.848)
Nd (0.492, 0.492, 0.677)
Nd (0.508, 0.508, 0.323)
Nd (0.591, 0.086, 0.152)
Nd (0.597, 0.073, 0.502)
Nd (0.914, 0.409, 0.848)
Nd (0.927, 0.403, 0.498)
Nd (0.999, 0.999, 0.799)
Er (0.000, 0.000, 0.500)
Er (0.173, 0.173, 0.171)
Er (0.325, 0.325, 0.811)
Er (0.675, 0.675, 0.189)
Er (0.827, 0.827, 0.829)
Sc (0.306, 0.694, 0.000)
Sc (0.694, 0.306, 0.000)

Properties
For the volume, the calculation gives 631 Å³/cell. The calculation puts the formation enthalpy at 0 K at 0.1602 eV per atom. As for the energy: -89.65 eV/cell.

Repeat the second record exactly.
Entry from Alexandria via LeMat-Bulk: a relaxed NdEr12Sc3 crystal (PBE).

Unit cell a=4.914 b=4.914 c=19.621 alpha=90.00 beta=90.00 gamma=90.00
Fractional coordinates of all 16 atoms:
Nd (0.000, 0.000, 0.000)
Er (0.000, 0.500, 0.130)
Er (0.000, 0.500, 0.377)
Er (0.000, 0.500, 0.623)
Er (0.000, 0.500, 0.870)
Er (0.500, 0.000, 0.130)
Er (0.500, 0.000, 0.377)
Er (0.500, 0.000, 0.623)
Er (0.500, 0.000, 0.870)
Er (0.500, 0.500, 0.000)
Er (0.500, 0.500, 0.255)
Er (0.500, 0.500, 0.500)
Er (0.500, 0.500, 0.745)
Sc (0.000, 0.000, 0.253)
Sc (0.000, 0.000, 0.500)
Sc (0.000, 0.000, 0.747)

Properties
For the volume, the calculation gives 474 Å³/cell. The calculation puts the formation enthalpy at 0 K at 0.0399 eV per atom. As for the energy: -77.88 eV/cell.